1.
LiAs2Rh (GGA-PBE, optimized geometry); total DFT energy (no corrections) = -5.0270 eV per atom
1.0
3.9191 -1.5418 0.0000
3.9191 1.5418 0.0000
-1.0705 0.0000 5.3684
Li As Rh
1 2 1
Cartesian
0.0000 0.0000 0.0000
1.1015 0.0000 3.9115
5.6661 0.0000 1.4570
3.3838 0.0000 2.6842

---

2.
LiAs2Rh4 (GGA-PBE, optimized geometry); total DFT energy (no corrections) = -6.2755 eV per atom
1.0
17.1923 0.0000 0.0000
0.0000 4.0687 0.0000
0.0000 0.0000 5.8940
Li As Rh
4 8 16
Cartesian
2.2861 1.0172 0.5645
6.3100 3.0515 3.5115
10.8822 1.0172 2.3825
14.9062 3.0515 5.3295
0.8601 3.0515 1.4678
3.3738 1.0172 3.9843
5.2224 3.0515 1.0373
7.7360 1.0172 4.4148
9.4562 3.0515 1.4792
11.9699 1.0172 4.8566
13.8185 3.0515 1.9096
16.3322 1.0172 4.4262
0.6308 3.0515 5.0080
1.1333 1.0172 3.0494
3.0830 3.0515 2.4272
3.4613 3.0515 5.2983
5.1349 1.0172 2.3513
5.5131 1.0172 5.3742
7.4628 3.0515 0.1024
7.9653 1.0172 2.0610
9.2270 3.0515 3.8330
9.7294 1.0172 5.7916
11.6791 3.0515 0.5198
12.0574 3.0515 3.5427
13.7310 1.0172 0.5957
14.1093 1.0172 3.4668
16.0590 3.0515 2.8446
16.5614 1.0172 0.8860

---

3.
LiAsRh2 (GGA-PBE, optimized geometry); total DFT energy (no corrections) = -5.6319 eV per atom
1.0
-1.4750 2.0418 4.7610
1.4750 -2.0418 4.7610
1.4750 2.0418 -4.7610
Li As Rh
1 1 2
Cartesian
0.0000 0.0000 0.0000
0.0000 2.0418 2.3038
1.4750 0.0000 2.7301
0.0000 0.0000 5.1540

---

4.
LiAsRh2 (GGA-PBE, optimized geometry); total DFT energy (no corrections) = -5.4106 eV per atom
1.0
1.4380 0.8302 8.4311
-1.4380 0.8302 8.4311
0.0000 -1.6604 8.4311
Li As Rh
1 1 2
Cartesian
0.0000 0.0000 0.0000
0.0000 0.0000 6.1648
0.0000 0.0000 12.7490
0.0000 0.0000 18.9410

---

no.,calculated formation energy (kJ per mole of atoms)
1,-37.2
2,-45.6
3,-30.4
4,-9.1